YFeRe | PBE | optimized geometry

Unit cell a=6.408 b=6.408 c=6.408 alpha=90.00 beta=90.00 gamma=90.00
Space group F-43m (No. 216)
Symmetry-distinct sites (fractional):
Y 0.000 0.000 0.000
Fe 0.250 0.250 0.750
Re 0.250 0.250 0.250

Calculated values
Energy relative to the lowest polymorph listed for this composition in eV/f.u.: 5.32
DOS at the Fermi energy in states/eV per atom: 1.4732